# CaTa2Al

Crystalline CaTa2Al at its relaxed geometry (PBE, Alexandria via LeMat-Bulk).

Calculated values
- Total magnetic moment: 0.000 μB per atom
- Crystal system: monoclinic
- Calculated formation energy: 285.5 meV per atom

Cell: 10.905 2.881 5.298 Å, 90.00 103.34 90.00°
Space group C2/m (No. 12)
Symmetry-distinct sites (fractional):
Ca (0.000, 0.000, 0.000) [2 per cell]
Ta (0.224, 0.000, 0.724) [4 per cell]
Al (0.000, 0.500, 0.500) [2 per cell]